# Sm6Ho12Tm

An optimized crystal structure of Sm6Ho12Tm (PBE, Alexandria).

Cell: 8.6825 8.6825 8.6825 Å, 98.66 98.66 98.66°
Last column: nearest neighbours and their distance in Å.
Atoms (fractional coordinates):
Sm (0.1575, 0.5968, 0.5968)  1 Sm 3.08, 1 Tm 3.40
Sm (0.4032, 0.4032, 0.8425)  1 Sm 3.08, 1 Tm 3.40
Sm (0.4032, 0.8425, 0.4032)  1 Sm 3.08, 1 Tm 3.40
Sm (0.5968, 0.1575, 0.5968)  1 Sm 3.08, 1 Tm 3.40
Sm (0.5968, 0.5968, 0.1575)  1 Sm 3.08, 1 Tm 3.40
Sm (0.8425, 0.4032, 0.4032)  1 Sm 3.08, 1 Tm 3.40
Ho (0.0000, 0.2577, 0.7423)  6 Ho 3.33-3.52, 4 Sm 3.47-3.54
Ho (0.0000, 0.7423, 0.2577)  6 Ho 3.33-3.52, 4 Sm 3.47-3.54
Ho (0.1448, 0.1448, 0.4173)  6 Ho 3.33-3.59, 2 Sm 3.70
Ho (0.1448, 0.4173, 0.1448)  6 Ho 3.33-3.59, 2 Sm 3.70
Ho (0.2577, 0.0000, 0.7423)  6 Ho 3.33-3.52, 4 Sm 3.47-3.54
Ho (0.2577, 0.7423, 0.0000)  6 Ho 3.33-3.52, 4 Sm 3.47-3.54
Ho (0.4173, 0.1448, 0.1448)  6 Ho 3.33-3.59, 2 Sm 3.70
Ho (0.5827, 0.8552, 0.8552)  6 Ho 3.33-3.59, 2 Sm 3.70
Ho (0.7423, 0.0000, 0.2577)  6 Ho 3.33-3.52, 4 Sm 3.47-3.54
Ho (0.7423, 0.2577, 0.0000)  6 Ho 3.33-3.52, 4 Sm 3.47-3.54
Ho (0.8552, 0.5827, 0.8552)  6 Ho 3.33-3.59, 2 Sm 3.70
Ho (0.8552, 0.8552, 0.5827)  6 Ho 3.33-3.59, 2 Sm 3.70
Tm (0.5000, 0.5000, 0.5000)  6 Sm 3.40

Values from the calculation:
uncorrected energy	-0.323	Ry per atom
size of the total moment	0.00	μB per formula unit
energy of formation	4.10	eV per formula unit